DFT (GGA-PBE) results for a relaxed structure of BaLaPt.

Computed properties:
Fermi-level density of states = 0.93 states/eV per atom
energy above the lowest structure with this stoichiometry = 0 meV per atom
E_tot = -30.05 eV per cell
total moment = 0.00 μB/f.u.
calculated volume = 42.8 Å³/atom
energy relative to the elements = -0.711 eV/atom

abc: 4.8144 4.8144 12.8002
angles: 90.00 90.00 120.00
Space group P-3m1 (No. 164)
Unique sites:
Ba1 0.0000 0.0000 0.1849
La1 0.3333 0.6667 0.5931
Pt1 0.3333 0.6667 0.3414

***

DFT (GGA-PBE) results for a relaxed structure of Ba4LaPt.

Computed properties:
Fermi-level density of states = 1.66 states/eV per atom
E_tot = -59.42 eV per cell
total moment = 3.38 μB/f.u.
calculated volume = 43.8 Å³/atom
energy relative to the elements = 0.634 eV/atom

abc: 10.171 10.171 10.171
angles: 90.00 90.00 90.00
Space group F-43m (No. 216)
Unique sites:
Ba1 0.124 0.124 0.376
La1 0.000 0.000 0.000
Pt1 0.250 0.250 0.750

***

DFT (GGA-PBE) results for a relaxed structure of Ba2La2Pt.

Computed properties:
Fermi-level density of states = 1.19 states/eV per atom
E_tot = -42.04 eV per cell
total moment = 0.00 μB/f.u.
calculated volume = 39.1 Å³/atom
energy relative to the elements = -0.256 eV/atom

abc: 7.701 7.701 6.595
angles: 90.00 90.00 90.00
Space group P4/mbm (No. 127)
Unique sites:
Ba1 0.181 0.319 0.000
La1 0.162 0.662 0.500
Pt1 0.000 0.000 0.500

***

DFT (GGA-PBE) results for a relaxed structure of BaLa2Pt.

Computed properties:
Fermi-level density of states = 1.18 states/eV per atom
energy above the lowest structure with this stoichiometry = 98 meV per atom
E_tot = -39.44 eV per cell
total moment = 0.00 μB/f.u.
calculated volume = 38.6 Å³/atom
energy relative to the elements = -0.475 eV/atom

abc: 4.042 4.346 17.582
angles: 90.00 90.00 90.00
Space group Amm2 (No. 38)
Unique sites:
Ba1 0.000 0.000 0.000
La1 0.000 0.000 0.685
La2 0.500 0.000 0.331
Pt1 0.500 0.000 0.167

***

DFT (GGA-PBE) results for a relaxed structure of BaLa4Pt.

Computed properties:
Fermi-level density of states = 1.69 states/eV per atom
E_tot = -102.66 eV per cell
total moment = 0.00 μB/f.u.
calculated volume = 33.2 Å³/atom
energy relative to the elements = 0.335 eV/atom

abc: 9.269 9.269 9.269
angles: 90.00 90.00 90.00
Space group F-43m (No. 216)
Unique sites:
Ba1 0.000 0.000 0.000
La1 0.120 0.120 0.620
Pt1 0.250 0.250 0.250

***

DFT (GGA-PBE) results for a relaxed structure of BaLa2Pt.

Computed properties:
Fermi-level density of states = 1.41 states/eV per atom
energy above the lowest structure with this stoichiometry = 472 meV per atom
E_tot = -18.22 eV per cell
total moment = 0.00 μB/f.u.
calculated volume = 30.8 Å³/atom
energy relative to the elements = -0.101 eV/atom

abc: 4.950 4.950 5.027
angles: 90.00 90.00 90.00
Space group P4/mmm (No. 123)
Unique sites:
Ba1 0.000 0.000 0.000
La1 0.000 0.500 0.500
Pt1 0.500 0.500 0.000

***

DFT (GGA-PBE) results for a relaxed structure of BaLa2Pt.

Computed properties:
Fermi-level density of states = 0.98 states/eV per atom
energy above the lowest structure with this stoichiometry = 419 meV per atom
E_tot = -73.73 eV per cell
total moment = 0.00 μB/f.u.
calculated volume = 29.0 Å³/atom
energy relative to the elements = -0.154 eV/atom

abc: 7.740 7.740 7.740
angles: 90.00 90.00 90.00
Space group Fm-3m (No. 225)
Unique sites:
Ba1 0.000 0.000 0.000
La1 0.250 0.250 0.250
Pt1 0.000 0.000 0.500

***

DFT (GGA-PBE) results for a relaxed structure of BaLaPt.

Computed properties:
Fermi-level density of states = 0.90 states/eV per atom
energy above the lowest structure with this stoichiometry = 15 meV per atom
E_tot = -14.98 eV per cell
total moment = 0.00 μB/f.u.
calculated volume = 41.1 Å³/atom
energy relative to the elements = -0.696 eV/atom

abc: 4.4292 4.4292 7.2524
angles: 90.00 90.00 120.00
Space group P3m1 (No. 156)
Unique sites:
Ba1 0.0000 0.0000 0.0000
La1 0.3333 0.6667 0.5455
Pt1 0.6667 0.3333 0.7320

***

DFT (GGA-PBE) results for a relaxed structure of BaLaPt2.

Computed properties:
Fermi-level density of states = 0.56 states/eV per atom
energy above the lowest structure with this stoichiometry = 121 meV per atom
E_tot = -88.99 eV per cell
total moment = 0.00 μB/f.u.
calculated volume = 26.3 Å³/atom
energy relative to the elements = -0.829 eV/atom

abc: 7.489 7.489 7.489
angles: 90.00 90.00 90.00
Space group Fm-3m (No. 225)
Unique sites:
Ba1 0.000 0.000 0.000
La1 0.000 0.000 0.500
Pt1 0.250 0.250 0.250

***

DFT (GGA-PBE) results for a relaxed structure of BaLa2Pt.

Computed properties:
Fermi-level density of states = 1.04 states/eV per atom
energy above the lowest structure with this stoichiometry = 11 meV per atom
E_tot = -60.20 eV per cell
total moment = 0.00 μB/f.u.
calculated volume = 40.8 Å³/atom
energy relative to the elements = -0.562 eV/atom

abc: 4.2952 4.2952 30.6130
angles: 90.00 90.00 120.00
Space group R-3m (No. 166, hexagonal axes)
Unique sites:
Ba1 0.0000 0.0000 0.0000
La1 0.0000 0.0000 0.2182
Pt1 0.0000 0.0000 0.5000

***

DFT (GGA-PBE) results for a relaxed structure of BaLa2Pt.

Computed properties:
Fermi-level density of states = 1.26 states/eV per atom
energy above the lowest structure with this stoichiometry = 120 meV per atom
E_tot = -39.26 eV per cell
total moment = 0.00 μB/f.u.
calculated volume = 38.1 Å³/atom
energy relative to the elements = -0.453 eV/atom

abc: 12.747 4.044 6.958
angles: 90.00 121.89 90.00
Space group Cm (No. 8)
Unique sites:
Ba1 0.000 0.000 0.000
La1 0.168 0.000 0.658
La2 0.363 0.000 0.357
Pt1 0.230 0.500 0.446

***

DFT (GGA-PBE) results for a relaxed structure of BaLa2RuPt.

Computed properties:
Fermi-level density of states = 1.47 states/eV per atom
E_tot = -25.47 eV per cell
total moment = 1.24 μB/f.u.
calculated volume = 37.5 Å³/atom
energy relative to the elements = 0.326 eV/atom

abc: 5.574 5.574 6.029
angles: 90.00 90.00 90.00
Space group P4/mmm (No. 123)
Unique sites:
Ba1 0.000 0.000 0.000
La1 0.000 0.500 0.500
Ru1 0.500 0.500 0.000
Pt1 0.000 0.000 0.500

***

DFT (GGA-PBE) results for a relaxed structure of Ba2LaSb3Pt4.

Computed properties:
Fermi-level density of states = 0.65 states/eV per atom
E_tot = -54.13 eV per cell
total moment = 0.00 μB/f.u.
calculated volume = 26.1 Å³/atom
formation energy without anion corrections = -852 kJ/mol of formula units

abc: 4.805 4.805 11.308
angles: 90.00 90.00 90.00
Space group P-4m2 (No. 115)
Unique sites:
Ba1 0.000 0.500 0.226
La1 0.000 0.000 0.500
Sb1 0.000 0.500 0.883
Sb2 0.500 0.500 0.500
Pt1 0.000 0.000 0.000
Pt2 0.000 0.500 0.646
Pt3 0.500 0.500 0.000

***

DFT (GGA-PBE) results for a relaxed structure of BaSr2LaPt.

Computed properties:
Fermi-level density of states = 0.92 states/eV per atom
E_tot = -18.38 eV per cell
total moment = 0.00 μB/f.u.
calculated volume = 43.8 Å³/atom
energy relative to the elements = -0.425 eV/atom

abc: 6.201 6.201 5.691
angles: 90.00 90.00 90.00
Space group P4/mmm (No. 123)
Unique sites:
Ba1 0.000 0.000 0.000
Sr1 0.000 0.500 0.500
La1 0.500 0.500 0.000
Pt1 0.500 0.500 0.500